# Sn2As2Pd7Pb

A relaxed Sn2As2Pd7Pb crystal (PBE, Alexandria).

**D(E_F)**: 4.9 states/eV per cell
**Calculated volume**: 18.677 Å³/atom
**DFT formation energy**: -311 kJ/mol of formula units
**Uncorrected energy**: -5.05 eV per atom

Lattice parameters (Å, degrees): 4.258 4.258 13.248 75.11 75.11 88.55
Fractional coordinates of all 12 atoms:
1 As 0.723 0.723 0.724
2 As 0.277 0.277 0.276
3 Sn 0.722 0.722 0.337
4 Sn 0.278 0.278 0.663
5 Pd 0.631 0.136 0.834
6 Pd 0.369 0.864 0.166
7 Pd 0.136 0.631 0.834
8 Pd 0.500 0.500 0.000
9 Pd 0.248 0.248 0.469
10 Pd 0.752 0.752 0.531
11 Pd 0.864 0.369 0.166
12 Pb 0.000 0.000 0.000

=====

# Sr3As2Pd9Pb

A relaxed Sr3As2Pd9Pb crystal (PBE, Alexandria).

**D(E_F)**: 3.5 states/eV per cell
**Calculated volume**: 23.696 Å³/atom
**DFT formation energy**: -728 kJ/mol of formula units
**Uncorrected energy**: -4.82 eV per atom

Lattice parameters (Å, degrees): 6.536 6.536 9.608 90.00 90.00 120.00
Fractional coordinates of all 15 atoms:
1 Pd 0.857 0.143 0.726
2 Pd 0.857 0.713 0.726
3 Pd 0.143 0.857 0.274
4 Pd 0.713 0.857 0.274
5 Pd 0.500 0.500 0.000
6 Pd 0.500 0.000 0.000
7 Pd 0.143 0.287 0.274
8 Pd 0.287 0.143 0.726
9 Pd 0.000 0.500 0.000
10 Pb 0.000 0.000 0.500
11 Sr 0.000 0.000 0.000
12 Sr 0.333 0.667 0.706
13 Sr 0.667 0.333 0.294
14 As 0.333 0.667 0.168
15 As 0.667 0.333 0.832